(1)
Density functional theory data (meta-GGA SCAN) for a crystal of Ni2HgRu relaxed with PBEsol.

```
4
Lattice="2.7454 -3.6250 0.0000 2.7454 3.6250 0.0000 0.0000 0.0000 2.6831" Properties=species:S:1:pos:R:3 pbc="T T T"
Ni 1.3727 1.8125 0.0000
Ni 1.3727 -1.8125 0.0000
Hg 0.0000 0.0000 1.3416
Ru 2.7454 0.0000 1.3416
```

- formation energy from the elements (eV per atom) = 0.403
- space-group type = Cmmm (65)

---

(2)
Density functional theory data (meta-GGA SCAN) for a crystal of NiHgRu2 relaxed with PBEsol.

```
4
Lattice="0.0000 3.0603 3.0603 3.0603 0.0000 3.0603 3.0603 3.0603 0.0000" Properties=species:S:1:pos:R:3 pbc="T T T"
Ni 0.0000 0.0000 0.0000
Hg 4.5905 4.5905 4.5905
Ru 1.5302 1.5302 1.5302
Ru 3.0603 3.0603 3.0603
```

- formation energy from the elements (eV per atom) = 0.569
- space-group type = F-43m (216)

---

(3)
Density functional theory data (meta-GGA SCAN) for a crystal of Ni2HgRu relaxed with PBEsol.

```
4
Lattice="0.0000 3.0177 3.0177 3.0177 0.0000 3.0177 3.0177 3.0177 0.0000" Properties=species:S:1:pos:R:3 pbc="T T T"
Ni 0.0000 0.0000 0.0000
Ni 1.5089 1.5089 1.5089
Hg 4.5266 4.5266 4.5266
Ru 3.0177 3.0177 3.0177
```

- formation energy from the elements (eV per atom) = 0.496
- space-group type = F-43m (216)

---

(4)
Density functional theory data (meta-GGA SCAN) for a crystal of Ni2HgRu relaxed with PBEsol.

```
4
Lattice="4.1907 -1.3619 0.0000 4.1907 1.3619 0.0000 -0.7902 0.0000 4.8126" Properties=species:S:1:pos:R:3 pbc="T T T"
Ni 1.8805 0.0000 1.0099
Ni 5.7107 0.0000 3.8027
Hg -0.3951 0.0000 2.4063
Ru 4.1907 0.0000 0.0000
```

- formation energy from the elements (eV per atom) = 0.403
- space-group type = C2/m (12)

---

(5)
Density functional theory data (meta-GGA SCAN) for a crystal of NiHgRu relaxed with PBEsol.

```
3
Lattice="0.0000 2.9014 2.9014 2.9014 0.0000 2.9014 2.9014 2.9014 0.0000" Properties=species:S:1:pos:R:3 pbc="T T T"
Ni 0.0000 0.0000 0.0000
Hg 1.4507 1.4507 1.4507
Ru 4.3521 4.3521 4.3521
```

- energy above the most stable polymorph in this dataset (meV per atom) = 86
- formation energy from the elements (eV per atom) = 0.556
- space-group type = F-43m (216)

---

(6)
Density functional theory data (meta-GGA SCAN) for a crystal of Ni2HgRu relaxed with PBEsol.

```
4
Lattice="4.4390 0.0000 0.0000 0.0000 4.4390 0.0000 0.0000 0.0000 2.7185" Properties=species:S:1:pos:R:3 pbc="T T T"
Ni 0.0000 2.2195 0.0000
Ni 2.2195 0.0000 0.0000
Hg 0.0000 0.0000 1.3593
Ru 2.2195 2.2195 1.3593
```

- formation energy from the elements (eV per atom) = 0.422
- space-group type = P4/mmm (123)

---

- What is the formation energy from the elements in the second record?
  0.569 eV per atom